9
Lattice="3.847 0.000 0.000 0.000 6.518 3.757 0.000 -6.518 3.757" Properties=species:S:1:pos:R:3 comment="HoTm2In3Ni2Ag | OQMD | PBE | relaxed" dft_energy_ev_per_atom=-4.42 sg="Amm2, No. 38" pbc="T T T"
Ag 0.000 0.000 7.508
Ho 0.000 0.000 3.078
In 1.924 4.726 4.784
In 1.924 0.000 5.458
In 1.924 -4.726 4.784
Ni 1.924 2.185 3.758
Ni 1.924 -2.185 3.758
Tm 0.000 3.844 2.220
Tm 0.000 -3.844 2.220